Entry 1:
Ho3Si4Pd: relaxed, PBE-GGA.

The structure in POSCAR format:
```
Ho3Si4Pd
1.0
-2.116 2.831 7.272
2.116 -2.831 7.272
2.116 2.831 -7.272
Ho Si Pd
3 4 1
Direct
0.000 0.000 0.000
0.306 0.806 0.500
0.694 0.194 0.500
0.085 0.378 0.707
0.328 0.622 0.707
0.672 0.378 0.293
0.915 0.622 0.293
0.500 0.500 0.000
```

Calculated values
Calculated volume ... 174.3 Å³ per cell
Energy relative to the elements, uncorrected ... -63 kJ/mol of atoms

Entry 2:
BaAl2Bi2S7: relaxed, PBE-GGA.

The structure in POSCAR format:
```
BaAl2Bi2S7
1.0
3.329 1.922 10.346
-3.329 1.922 10.346
0.000 -3.844 10.346
Ba Al Bi S
1 2 2 7
Direct
0.000 0.000 0.000
0.429 0.429 0.429
0.571 0.571 0.571
0.222 0.222 0.222
0.778 0.778 0.778
0.074 0.431 0.696
0.304 0.569 0.926
0.431 0.696 0.074
0.500 0.500 0.500
0.569 0.926 0.304
0.696 0.074 0.431
0.926 0.304 0.569
```

Calculated values
Calculated volume ... 397.2 Å³ per cell
Energy relative to the elements, uncorrected ... -85 kJ/mol of atoms

Entry 3:
UVTcGe: relaxed, PBE-GGA.

The structure in POSCAR format:
```
UVTcGe
1.0
0.000 3.212 3.212
3.212 0.000 3.212
3.212 3.212 0.000
U V Tc Ge
1 1 1 1
Direct
0.000 0.000 0.000
0.250 0.250 0.250
0.750 0.750 0.750
0.500 0.500 0.500
```

Calculated values
Calculated volume ... 66.2 Å³ per cell
Formation enthalpy at 0 K ... -0.0552 eV per atom

Entry 4:
Tb6NdDy2Sc: relaxed, PBE-GGA.

The structure in POSCAR format:
```
Tb6NdDy2Sc
1.0
4.558 -7.456 0.000
4.558 7.456 0.000
-1.084 0.000 9.346
Tb Nd Dy Sc
12 2 4 2
Direct
0.003 0.561 0.189
0.125 0.754 0.555
0.246 0.875 0.945
0.293 0.510 0.385
0.439 0.997 0.311
0.490 0.707 0.115
0.510 0.293 0.885
0.561 0.003 0.689
0.707 0.490 0.615
0.754 0.125 0.055
0.875 0.246 0.445
0.997 0.439 0.811
0.024 0.976 0.250
0.976 0.024 0.750
0.204 0.307 0.049
0.307 0.204 0.549
0.693 0.796 0.451
0.796 0.693 0.951
0.415 0.585 0.750
0.585 0.415 0.250
```

Calculated values
Calculated volume ... 635.2 Å³ per cell
Formation enthalpy at 0 K ... 0.1270 eV per atom

Entry 5:
CaGe2IrOs: relaxed, PBE-GGA.

The structure in POSCAR format:
```
CaGe2IrOs
1.0
-2.127 2.127 5.107
2.127 -2.127 5.107
2.127 2.127 -5.107
Ca Ge Ir Os
1 2 1 1
Direct
0.000 0.000 0.000
0.372 0.372 0.000
0.628 0.628 0.000
0.250 0.750 0.500
0.750 0.250 0.500
```

Calculated values
Calculated volume ... 92.4 Å³ per cell
Formation enthalpy at 0 K ... -0.4590 eV per atom

Entry 6:
Mg: relaxed, PBE-GGA.

The structure in POSCAR format:
```
Mg
1.0
5.111 0.000 0.000
-2.556 4.427 0.000
0.000 0.000 5.429
Mg
4
Direct
0.000 0.000 0.250
0.000 0.000 0.750
0.333 0.667 0.250
0.667 0.333 0.750
```

Calculated values
Distance to the lowest polymorph of the same formula ... 48.6 kJ/mol of formula units
Calculated volume ... 122.8 Å³ per cell
Formation enthalpy at 0 K ... 0.5034 eV per atom

Entry 7:
Ce2Nd3ScTe6: relaxed, PBE-GGA.

The structure in POSCAR format:
```
Ce2Nd3ScTe6
1.0
9.703 -2.206 0.000
9.703 2.206 0.000
-2.163 0.000 8.696
Ce Nd Sc Te
2 3 1 6
Direct
0.167 0.167 0.335
0.833 0.833 0.665
0.171 0.171 0.836
0.500 0.500 0.500
0.829 0.829 0.164
0.500 0.500 0.000
0.002 0.002 0.768
0.333 0.333 0.416
0.342 0.342 0.919
0.658 0.658 0.081
0.667 0.667 0.584
0.998 0.998 0.232
```

Calculated values
Calculated volume ... 372.3 Å³ per cell
Energy relative to the elements, uncorrected ... -130 kJ/mol of atoms

Entry 8:
TlCo2Pb: relaxed, PBE-GGA.

The structure in POSCAR format:
```
TlCo2Pb
1.0
4.732 -1.680 0.000
4.732 1.680 0.000
-4.483 0.000 5.535
Tl Co Pb
1 2 1
Direct
0.000 0.000 0.000
0.274 0.274 0.624
0.726 0.726 0.376
0.500 0.500 0.500
```

Calculated values
Calculated volume ... 88.0 Å³ per cell
Formation enthalpy at 0 K ... 0.5202 eV per atom

Entry 9:
Re3PI: relaxed, PBE-GGA.

The structure in POSCAR format:
```
Re3PI
1.0
4.492 0.000 0.000
0.000 4.492 0.000
0.000 0.000 4.492
Re P I
3 1 1
Direct
0.000 0.000 0.500
0.000 0.500 0.000
0.500 0.000 0.000
0.000 0.000 0.000
0.500 0.500 0.500
```

Calculated values
Distance to the lowest polymorph of the same formula ... 0.0 kJ/mol of formula units
Calculated volume ... 90.6 Å³ per cell
Energy relative to the elements, uncorrected ... 137 kJ/mol of atoms

Entry 10:
Tm6FePd2: relaxed, PBE-GGA.

The structure in POSCAR format:
```
Tm6FePd2
1.0
6.381 0.000 0.000
0.000 7.283 0.000
-6.138 0.000 9.567
Tm Fe Pd
12 2 4
Direct
0.107 0.184 0.440
0.107 0.316 0.940
0.276 0.675 0.436
0.276 0.825 0.936
0.390 0.033 0.250
0.390 0.467 0.750
0.610 0.533 0.250
0.610 0.967 0.750
0.724 0.175 0.064
0.724 0.325 0.564
0.893 0.684 0.060
0.893 0.816 0.560
0.000 0.000 0.000
0.000 0.500 0.500
0.184 0.116 0.742
0.184 0.384 0.242
0.816 0.616 0.758
0.816 0.884 0.258
```

Calculated values
Calculated volume ... 444.6 Å³ per cell
Formation enthalpy at 0 K ... -0.4211 eV per atom

Entry 11:
RbTi2ReF: relaxed, PBE-GGA.

The structure in POSCAR format:
```
RbTi2ReF
1.0
4.897 0.000 0.000
0.000 4.897 0.000
0.000 0.000 4.724
Rb Ti Re F
1 2 1 1
Direct
0.000 0.000 0.000
0.000 0.500 0.000
0.500 0.000 0.000
0.000 0.000 0.500
0.500 0.500 0.500
```

Calculated values
Distance to the lowest polymorph of the same formula ... 451.2 kJ/mol of formula units
Calculated volume ... 113.3 Å³ per cell
Energy relative to the elements, uncorrected ... 256 kJ/mol of atoms

Entry 12:
Na3Tb2NpO6: relaxed, PBE-GGA.

The structure in POSCAR format:
```
Na3Tb2NpO6
1.0
3.003 -5.201 0.000
3.003 5.201 0.000
-2.002 0.000 5.635
Na Tb Np O
3 2 1 6
Direct
0.000 0.000 0.000
0.332 0.668 0.000
0.668 0.332 0.000
0.167 0.833 0.500
0.833 0.167 0.500
0.500 0.500 0.500
0.093 0.428 0.285
0.236 0.236 0.714
0.428 0.093 0.285
0.572 0.907 0.715
0.764 0.764 0.286
0.907 0.572 0.715
```

Calculated values
Calculated volume ... 176.0 Å³ per cell
Energy relative to the elements, uncorrected ... -248 kJ/mol of atoms

Entry 13:
Nd5Y2Tm2: relaxed, PBE-GGA.

The structure in POSCAR format:
```
Nd5Y2Tm2
1.0
-7.509 5.960 3.392
7.509 -5.960 3.392
7.509 5.960 -3.392
Nd Y Tm
10 4 4
Direct
0.057 0.477 0.869
0.057 0.688 0.080
0.080 0.065 0.515
0.230 0.050 0.280
0.230 0.450 0.680
0.550 0.565 0.485
0.608 0.188 0.131
0.608 0.977 0.920
0.770 0.550 0.320
0.770 0.950 0.720
0.168 0.308 0.118
0.168 0.550 0.360
0.190 0.050 0.882
0.190 0.808 0.640
0.628 0.380 0.749
0.631 0.880 0.251
0.654 0.154 0.500
0.654 0.654 0.000
```

Calculated values
Distance to the lowest polymorph of the same formula ... 174.8 kJ/mol of formula units
Calculated volume ... 607.3 Å³ per cell
Formation enthalpy at 0 K ... 0.2212 eV per atom

Entry 14:
Y4MgOs: relaxed, PBE-GGA.

The structure in POSCAR format:
```
Y4MgOs
1.0
4.484 -6.495 0.000
4.484 6.495 0.000
-1.890 0.000 5.893
Y Mg Os
8 2 2
Direct
0.064 0.726 0.951
0.192 0.354 0.616
0.274 0.936 0.549
0.354 0.192 0.116
0.646 0.808 0.884
0.726 0.064 0.451
0.808 0.646 0.384
0.936 0.274 0.049
0.379 0.621 0.250
0.621 0.379 0.750
0.001 0.999 0.750
0.999 0.001 0.250
```

Calculated values
Distance to the lowest polymorph of the same formula ... 12.6 kJ/mol of formula units
Calculated volume ... 343.2 Å³ per cell
Formation enthalpy at 0 K ... -0.1590 eV per atom

Entry 15:
LaZn2InRh: relaxed, PBE-GGA.

The structure in POSCAR format:
```
LaZn2InRh
1.0
5.478 0.000 0.000
0.000 5.478 0.000
0.000 0.000 6.002
La Zn In Rh
1 2 1 1
Direct
0.000 0.000 0.000
0.000 0.500 0.000
0.500 0.000 0.000
0.000 0.000 0.500
0.500 0.500 0.500
```

Calculated values
Distance to the lowest polymorph of the same formula ... 851.9 kJ/mol of formula units
Calculated volume ... 180.1 Å³ per cell
Formation enthalpy at 0 K ... 1.4464 eV per atom

Entry 16:
Be2FeAu: relaxed, PBE-GGA.

The structure in POSCAR format:
```
Be2FeAu
1.0
4.314 -1.338 0.000
4.314 1.338 0.000
-1.231 0.000 3.941
Be Fe Au
2 1 1
Direct
0.000 0.000 0.000
0.720 0.720 0.324
0.248 0.248 0.861
0.471 0.471 0.485
```

Calculated values
Calculated volume ... 45.5 Å³ per cell
Formation enthalpy at 0 K ... 0.0236 eV per atom

Entry 17:
TcTeRh2: relaxed, PBE-GGA.

The structure in POSCAR format:
```
TcTeRh2
1.0
2.746 -3.975 0.000
2.746 3.975 0.000
0.000 0.000 2.949
Tc Te Rh
1 1 2
Direct
0.000 0.000 0.000
0.500 0.500 0.000
0.000 0.500 0.500
0.500 0.000 0.500
```

Calculated values
Calculated volume ... 64.4 Å³ per cell
Energy relative to the elements, uncorrected ... 20 kJ/mol of atoms

Entry 18:
Cs5Tl12Pb2: relaxed, PBE-GGA.

The structure in POSCAR format:
```
Cs5Tl12Pb2
1.0
9.040 -4.651 0.000
9.040 4.651 0.000
-0.004 0.000 9.459
Cs Tl Pb
5 12 2
Direct
0.000 0.000 0.000
0.241 0.241 0.980
0.278 0.278 0.512
0.722 0.722 0.488
0.759 0.759 0.020
0.069 0.069 0.618
0.074 0.704 0.713
0.212 0.591 0.214
0.296 0.926 0.287
0.409 0.788 0.786
0.445 0.445 0.850
0.555 0.555 0.150
0.591 0.212 0.214
0.704 0.074 0.713
0.788 0.409 0.786
0.926 0.296 0.287
0.931 0.931 0.382
0.330 0.670 0.500
0.670 0.330 0.500
```

Calculated values
Calculated volume ... 795.4 Å³ per cell
Formation enthalpy at 0 K ... -0.0538 eV per atom

Entry 19:
Rb3CaPu2S6: relaxed, PBE-GGA.

The structure in POSCAR format:
```
Rb3CaPu2S6
1.0
3.583 -6.205 0.000
3.583 6.205 0.000
-2.388 0.000 7.637
Rb Ca Pu S
3 1 2 6
Direct
0.000 0.000 0.000
0.337 0.663 0.000
0.663 0.337 0.000
0.500 0.500 0.500
0.167 0.833 0.500
0.833 0.167 0.500
0.089 0.436 0.309
0.216 0.216 0.690
0.436 0.089 0.309
0.564 0.911 0.691
0.784 0.784 0.310
0.911 0.564 0.691
```

Calculated values
Calculated volume ... 339.6 Å³ per cell
Energy relative to the elements, uncorrected ... -153 kJ/mol of atoms

Entry 20:
CaMn3Tc: relaxed, PBE-GGA.

The structure in POSCAR format:
```
CaMn3Tc
1.0
4.723 0.000 0.000
0.000 4.723 0.000
0.000 0.000 4.723
Ca Mn Tc
1 3 1
Direct
0.000 0.000 0.000
0.000 0.500 0.500
0.500 0.000 0.500
0.500 0.500 0.000
0.500 0.500 0.500
```

Calculated values
Distance to the lowest polymorph of the same formula ... 0.0 kJ/mol of formula units
Calculated volume ... 105.4 Å³ per cell
Formation enthalpy at 0 K ... 0.7660 eV per atom

Entry 21:
Tb6Dy3Ho2Cd: relaxed, PBE-GGA.

The structure in POSCAR format:
```
Tb6Dy3Ho2Cd
1.0
3.047 -5.287 0.000
3.047 5.287 0.000
-2.064 0.000 11.423
Tb Dy Ho Cd
6 3 2 1
Direct
0.081 0.411 0.247
0.250 0.250 0.752
0.411 0.081 0.247
0.589 0.919 0.753
0.750 0.750 0.248
0.919 0.589 0.753
0.166 0.834 0.500
0.500 0.500 0.500
0.834 0.166 0.500
0.334 0.666 0.000
0.666 0.334 0.000
0.000 0.000 0.000
```

Calculated values
Calculated volume ... 368.1 Å³ per cell
Formation enthalpy at 0 K ... 0.0016 eV per atom